# 1
Here is crystalline Sm2AsSe at its relaxed geometry from the Alexandria database. Energies are from PBE.

Geometry as POSCAR:
```
Sm2AsSe
1.0
7.280 0.006 0.000
2.451 6.855 0.000
-4.866 -3.431 4.190
Sm Se As
4 2 2
direct
0.494 0.994 0.500
0.256 0.256 0.000
0.744 0.744 0.000
0.006 0.506 0.500
0.750 0.250 0.500
0.000 0.000 0.000
0.500 0.500 0.000
0.250 0.750 0.500
```

Output
As for the total DFT energy (no corrections): -49.009 eV/cell. The formation energy from raw total energies is -1.733 eV/atom. The calculation puts the polymorph energy (0 for the lowest one) at 0.002 eV/atom.


# 2
Here is crystalline Sm2AsSe at its relaxed geometry from the Alexandria database. Energies are from PBE.

Geometry as POSCAR:
```
Sm2AsSe
1.0
-1.860 3.353 -1.503
0.292 0.894 -4.010
-6.492 -2.480 -3.140
Sm Se As
2 1 1
direct
0.256 0.256 0.231
0.077 0.077 0.770
0.499 0.499 0.504
0.668 0.668 0.996
```

Output
As for the total DFT energy (no corrections): -24.197 eV/cell. The formation energy from raw total energies is -1.656 eV/atom. The calculation puts the polymorph energy (0 for the lowest one) at 0.079 eV/atom.


# 3
Here is crystalline SmAsSe at its relaxed geometry from the Alexandria database. Energies are from PBE.

Geometry as POSCAR:
```
SmAsSe
1.0
3.969 0.000 0.000
0.000 4.034 0.000
0.000 0.000 17.883
Sm As Se
4 4 4
direct
0.750 0.768 0.140
0.250 0.268 0.360
0.250 0.232 0.860
0.750 0.732 0.640
0.250 0.706 0.998
0.750 0.206 0.502
0.250 0.794 0.498
0.750 0.294 0.002
0.750 0.735 0.812
0.750 0.765 0.312
0.250 0.235 0.688
0.250 0.265 0.188
```

Output
As for the total DFT energy (no corrections): -68.982 eV/cell. The formation energy from raw total energies is -1.464 eV/atom.


# 4
Here is crystalline Sm2AsSe at its relaxed geometry from the Alexandria database. Energies are from PBE.

Geometry as POSCAR:
```
Sm2AsSe
1.0
7.279 -0.002 -0.001
6.069 4.018 -0.001
6.069 1.826 3.579
As Sm Se
1 2 1
direct
0.000 0.000 0.000
0.254 0.254 0.254
0.746 0.746 0.746
0.500 0.500 0.500
```

Output
As for the total DFT energy (no corrections): -24.512 eV/cell. The formation energy from raw total energies is -1.735 eV/atom. The calculation puts the polymorph energy (0 for the lowest one) at 0.000 eV/atom.